Model i:
Below is crystalline ThHgSb at its relaxed geometry, with properties calculated at the PBE-GGA level.

extended XYZ file:
```
3
Lattice="4.9427 0.0000 0.0000 -2.4714 4.2805 0.0000 0.0000 0.0000 4.0104" Properties=species:S:1:pos:R:3 pbc="T T T"
Th 0.0000 0.0000 0.0000
Hg 0.0000 2.8537 1.2939
Sb 2.4714 1.4268 2.2482
```

Crystal system: trigonal



Model ii:
Below is crystalline ThHgSb at its relaxed geometry, with properties calculated at the PBE-GGA level.

extended XYZ file:
```
6
Lattice="4.4851 0.0000 0.0000 0.0000 4.4851 0.0000 0.0000 0.0000 8.7070" Properties=species:S:1:pos:R:3 pbc="T T T"
Th 1.1213 1.1213 1.6888
Th 3.3638 3.3638 7.0182
Hg 1.1213 3.3638 4.3535
Hg 3.3638 1.1213 4.3535
Sb 1.1213 1.1213 7.2219
Sb 3.3638 3.3638 1.4851
```

Crystal system: tetragonal



Model iii:
Below is crystalline ThHgSb at its relaxed geometry, with properties calculated at the PBE-GGA level.

extended XYZ file:
```
3
Lattice="-2.0185 2.0185 5.0992 2.0185 -2.0185 5.0992 2.0185 2.0185 -5.0992" Properties=species:S:1:pos:R:3 pbc="T T T"
Th 0.0000 0.0000 0.0000
Hg 0.0000 0.0000 3.3344
Sb 0.0000 0.0000 6.7824
```

Crystal system: tetragonal



Quick look at relative energies in eV/atom: model i 0.197; model ii 0.000; model iii 0.154.



Model i:
Below is crystalline Th2HgSb at its relaxed geometry, with properties calculated at the PBE-GGA level.

extended XYZ file:
```
4
Lattice="2.1871 1.2627 7.6891 -2.1871 1.2627 7.6891 0.0000 -2.5255 7.6891" Properties=species:S:1:pos:R:3 pbc="T T T"
Th 0.0000 0.0000 5.7686
Th 0.0000 0.0000 17.2987
Hg 0.0000 0.0000 0.0000
Sb 0.0000 0.0000 11.5337
```

Crystal system: trigonal



Model ii:
Below is crystalline Th2HgSb at its relaxed geometry, with properties calculated at the PBE-GGA level.

extended XYZ file:
```
4
Lattice="0.0000 3.8511 3.8511 3.8511 0.0000 3.8511 3.8511 3.8511 0.0000" Properties=species:S:1:pos:R:3 pbc="T T T"
Th 1.9255 1.9255 1.9255
Th 5.7766 5.7766 5.7766
Hg 0.0000 0.0000 0.0000
Sb 3.8511 3.8511 3.8511
```

Crystal system: cubic



Quick look at relative energies in eV/atom: model i 0.000; model ii 0.039.